Entry 1:
Computed, not measured: a geometry-optimized KNaSbAu structure at the PBE level of DFT.

## Properties
E above lowest polymorph in meV per atom: 0
Formation energy from raw total energies in eV/atom: -0.406
Crystal system: orthorhombic

a = 4.9918 Å, b = 5.3343 Å, c = 10.4591 Å
α = 90.00°, β = 90.00°, γ = 90.00°
Space group Amm2 (No. 38)
Symmetry-distinct sites (fractional):
K 0.0000 0.0000 0.0000 [2 per cell]
Na 0.5000 0.0000 0.7129 [2 per cell]
Sb 0.5000 0.0000 0.3907 [2 per cell]
Au 0.0000 0.0000 0.3067 [2 per cell]


Entry 2:
Computed, not measured: a geometry-optimized K2NaSb4Au3 structure at the PBE level of DFT.

## Properties
Formation energy from raw total energies in eV/atom: -0.293
Crystal system: tetragonal

a = 4.8924 Å, b = 4.8924 Å, c = 11.6459 Å
α = 90.00°, β = 90.00°, γ = 90.00°
Space group P-4m2 (No. 115)
Symmetry-distinct sites (fractional):
K 0.0000 0.5000 0.2470 [2 per cell]
Na 0.5000 0.5000 0.0000 [1 per cell]
Sb 0.0000 0.0000 0.5000 [1 per cell]
Sb 0.0000 0.5000 0.8597 [2 per cell]
Sb 0.5000 0.5000 0.5000 [1 per cell]
Au 0.0000 0.0000 0.0000 [1 per cell]
Au 0.0000 0.5000 0.6271 [2 per cell]